[1]
The following is a GGA-PBE calculation of a geometry-optimized CrSbRh structure, from Alexandria.

a = 5.7937 Å, b = 4.4944 Å, c = 7.7727 Å
α = 90.00°, β = 89.98°, γ = 90.00°
With the nearest neighbours (Å) after each atom.
Sites, in units of the cell vectors:
Sb: 0.0268 0.0000 0.8837  5 Rh 2.59-2.90
Sb: 0.0268 0.5000 0.3837  5 Rh 2.59-2.90
Sb: 0.5267 0.0000 0.2176  5 Rh 2.59-2.90
Sb: 0.5267 0.5000 0.7176  5 Rh 2.59-2.90
Rh: 0.0267 0.0000 0.2173  5 Sb 2.59-2.90
Rh: 0.0267 0.5000 0.7173  5 Sb 2.59-2.90
Rh: 0.5267 0.0000 0.8840  5 Sb 2.59-2.90
Rh: 0.5267 0.5000 0.3840  5 Sb 2.59-2.90
Cr: 0.2767 0.0000 0.5506  2 Cr 2.90, 6 Sb 2.97, 6 Rh 2.97
Cr: 0.2767 0.5000 0.0506  2 Cr 2.90, 6 Sb 2.97, 6 Rh 2.97
Cr: 0.7767 0.0000 0.5507  2 Cr 2.90, 6 Sb 2.97, 6 Rh 2.97
Cr: 0.7767 0.5000 0.0507  2 Cr 2.90, 6 Sb 2.97, 6 Rh 2.97

total magnetization	13.39	μB/cell
energy relative to the elements, uncorrected	-0.09	eV/atom
ρ	9.08	g cm⁻³
Fermi-level density of states	0.846	states/eV per atom

[2]
The following is a GGA-PBE calculation of a geometry-optimized MgUNi10 structure, from Alexandria.

a = 3.9886 Å, b = 4.7889 Å, c = 8.2082 Å
α = 90.00°, β = 90.00°, γ = 90.00°
With the nearest neighbours (Å) after each atom.
Sites, in units of the cell vectors:
Mg: 0.0000 0.5000 0.5000  6 Ni 2.71-2.76
U: 0.0000 0.0000 0.0000  6 Ni 2.72-2.77
Ni: 0.0000 0.0000 0.3318  6 Ni 2.42-2.43
Ni: 0.0000 0.5000 0.8298  6 Ni 2.42-2.43, 1 Mg 2.71
Ni: 0.0000 0.5000 0.1702  6 Ni 2.42-2.43, 1 Mg 2.71
Ni: 0.0000 0.0000 0.6682  6 Ni 2.42-2.43
Ni: 0.5000 0.0000 0.5000  8 Ni 2.38-2.43
Ni: 0.5000 0.5000 0.0000  8 Ni 2.37-2.43
Ni: 0.5000 0.2477 0.2483  8 Ni 2.37-2.42
Ni: 0.5000 0.7523 0.7517  8 Ni 2.37-2.42
Ni: 0.5000 0.7523 0.2483  8 Ni 2.37-2.42
Ni: 0.5000 0.2477 0.7517  8 Ni 2.37-2.42

total magnetization	1.72	μB/cell
formation energy from the elements	-149.9	kJ/mol of formula units
ρ	8.99	g cm⁻³
Fermi-level density of states	1.281	states/eV per atom